First-principles (PBE) data for an optimized crystal structure of GdPuCdHg, as listed in the Alexandria database.

Values from the calculation:
The energy of formation from the pure elements is -0.186 eV per atom. The value obtained for the total energy is -7.593 eV/atom. The symmetry is F-43m, No. 216. The magnetization comes out at 1.0 μB/cell. As for the density of states at the Fermi level: 2.597 states/eV per atom.

a = 5.354 Å, b = 5.354 Å, c = 5.354 Å
α = 60.00°, β = 60.00°, γ = 60.00°
Element x y z (fractional)
Gd1 0.000 0.000 0.000
Pu1 0.500 0.500 0.500
Cd1 0.250 0.250 0.250
Hg1 0.750 0.750 0.750